1.
Here is crystalline Hf2GaAg2 at its relaxed geometry from Alexandria. Energies are from PBE. Values from VASP.

```
&SYSTEM
  ibrav = 0, nat = 10, ntyp = 3
/
ATOMIC_SPECIES
Ag 107.87 Ag.upf
Hf 178.49 Hf.upf
Ga 69.72 Ga.upf
CELL_PARAMETERS angstrom
6.8804 0.0000 0.0000
0.0000 6.8804 0.0000
0.0000 0.0000 4.1357
ATOMIC_POSITIONS crystal
Ag 0.1385 0.3615 0.0000
Ag 0.3615 0.8615 0.0000
Hf 0.3339 0.1661 0.5000
Ag 0.8615 0.6385 0.0000
Hf 0.6661 0.8339 0.5000
Ga 0.5000 0.5000 0.0000
Hf 0.8339 0.3339 0.5000
Ag 0.6385 0.1385 0.0000
Hf 0.1661 0.6661 0.5000
Ga 0.0000 0.0000 0.0000
```

- DOS(E_F) (states/eV/f.u.) = 2.9
- distance to the lowest polymorph of the same formula (meV per atom) = 0.0
- size of the total moment (μB/cell) = 0.0

=====

2.
Here is crystalline Ca2LaPbSe4 at its relaxed geometry from Alexandria. Energies are from PBE. Values from VASP.

```
&SYSTEM
  ibrav = 0, nat = 8, ntyp = 4
/
ATOMIC_SPECIES
Pb 207.20 Pb.upf
Ca 40.08 Ca.upf
Se 78.96 Se.upf
La 138.91 La.upf
CELL_PARAMETERS angstrom
4.2695 0.0000 0.0000
0.0000 7.4591 0.1410
0.0000 -2.5950 6.9888
ATOMIC_POSITIONS crystal
Pb 0.0000 0.0000 0.0000
Ca 0.5000 0.0000 0.5000
Se 0.5000 0.2577 0.2611
Se 0.0000 0.7520 0.2609
Se 0.0000 0.2480 0.7391
Se 0.5000 0.7423 0.7389
La 0.5000 0.5000 0.0000
Ca 0.0000 0.5000 0.5000
```

- E_form (uncorrected) (eV per atom) = -1.588
- DOS(E_F) (states/eV/f.u.) = 3.5
- size of the total moment (μB/cell) = 0.0

=====

3.
Here is crystalline Zr2CrW at its relaxed geometry from Alexandria. Energies are from PBE. Values from VASP.

```
&SYSTEM
  ibrav = 0, nat = 4, ntyp = 3
/
ATOMIC_SPECIES
Zr 91.22 Zr.upf
Cr 52.00 Cr.upf
W 183.84 W.upf
CELL_PARAMETERS angstrom
-3.5370 0.5551 -4.2219
-4.8799 -2.5808 0.4106
3.3979 3.7525 2.2395
ATOMIC_POSITIONS crystal
Zr 0.7373 0.2373 0.5000
Zr 0.0076 0.0076 0.0000
Cr 0.4774 0.4774 0.0000
W 0.2777 0.7777 0.5000
```

- DOS(E_F) (states/eV/f.u.) = 5.0
- distance to the lowest polymorph of the same formula (meV per atom) = 27.8
- size of the total moment (μB/cell) = 0.0

=====

4.
Here is crystalline AcMgCo2H6 at its relaxed geometry from Alexandria. Energies are from PBE. Values from VASP.

```
&SYSTEM
  ibrav = 0, nat = 10, ntyp = 4
/
ATOMIC_SPECIES
Co 58.93 Co.upf
H 1.01 H.upf
Ac 227.00 Ac.upf
Mg 24.30 Mg.upf
CELL_PARAMETERS angstrom
4.5796 0.0000 0.0000
2.2898 3.9661 0.0000
2.2898 1.3220 5.3292
ATOMIC_POSITIONS crystal
Co 0.7971 0.7971 0.6088
H 0.5824 0.5824 0.7779
H 0.4176 0.9426 0.2221
Co 0.2029 0.2029 0.3912
Ac 0.0000 0.0000 0.0000
H 0.5824 0.0574 0.7779
Mg 0.5000 0.5000 0.5000
H 0.0574 0.5824 0.7779
H 0.4176 0.4176 0.2221
H 0.9426 0.4176 0.2221
```

- DOS(E_F) (states/eV/f.u.) = 5.6
- total DFT energy (no corrections) (eV per atom) = -4.2481
- size of the total moment (μB/cell) = 0.0

=====

5.
Here is crystalline InSiAu2 at its relaxed geometry from Alexandria. Energies are from PBE. Values from VASP.

```
&SYSTEM
  ibrav = 0, nat = 4, ntyp = 3
/
ATOMIC_SPECIES
Au 196.97 Au.upf
Si 28.09 Si.upf
In 114.82 In.upf
CELL_PARAMETERS angstrom
-4.6856 1.3027 1.9627
-3.8169 -0.7737 -3.5123
3.8982 -3.0303 1.7678
ATOMIC_POSITIONS crystal
Au 0.0000 0.0000 0.0000
Si 0.7500 0.2500 0.5000
Au 0.2500 0.7500 0.5000
In 0.5000 0.5000 0.0000
```

- E_form (uncorrected) (eV per atom) = 0.158
- DOS(E_F) (states/eV/f.u.) = 1.3
- size of the total moment (μB/cell) = 0.0

=====

6.
Here is crystalline ThZrSi2O8 at its relaxed geometry from Alexandria. Energies are from PBE. Values from VASP.

```
&SYSTEM
  ibrav = 0, nat = 12, ntyp = 4
/
ATOMIC_SPECIES
Si 28.09 Si.upf
O 16.00 O.upf
Zr 91.22 Zr.upf
Th 232.04 Th.upf
CELL_PARAMETERS angstrom
-4.8794 1.7355 2.6536
-0.5981 -1.7031 -5.5321
1.9176 -4.6349 2.9500
ATOMIC_POSITIONS crystal
Si 0.5000 0.5000 0.0000
O 0.9309 0.6032 0.6724
Zr 0.2500 0.7500 0.5000
Th 0.0000 0.0000 0.0000
O 0.9309 0.2585 0.3276
Si 0.7500 0.2500 0.5000
O 0.3968 0.0691 0.3276
O 0.3349 0.1477 0.8127
O 0.8523 0.6651 0.1873
O 0.4778 0.6651 0.8127
O 0.3349 0.5222 0.1873
O 0.7415 0.0691 0.6724
```

- E_form (uncorrected) (eV per atom) = -3.179
- DOS(E_F) (states/eV/f.u.) = 0.0
- size of the total moment (μB/cell) = 0.0

=====

7.
Here is crystalline Hf6ZnSb at its relaxed geometry from Alexandria. Energies are from PBE. Values from VASP.

```
&SYSTEM
  ibrav = 0, nat = 8, ntyp = 3
/
ATOMIC_SPECIES
Hf 178.49 Hf.upf
Sb 121.76 Sb.upf
Zn 65.41 Zn.upf
CELL_PARAMETERS angstrom
-4.5691 0.4166 4.3357
-1.2764 -1.2627 -6.0518
3.6356 -4.7685 1.9233
ATOMIC_POSITIONS crystal
Hf 0.0258 0.4724 0.2632
Hf 0.5276 0.9742 0.7368
Sb 0.0000 0.0000 0.0000
Zn 0.5000 0.5000 0.5000
Hf 0.2522 0.2522 0.7435
Hf 0.7478 0.7478 0.2565
Hf 0.9742 0.5276 0.7368
Hf 0.4724 0.0258 0.2632
```

- E_form (uncorrected) (eV per atom) = 0.211
- DOS(E_F) (states/eV/f.u.) = 6.4
- size of the total moment (μB/cell) = 0.0

=====

8.
Here is crystalline CaGd2Ni at its relaxed geometry from Alexandria. Energies are from PBE. Values from VASP.

```
&SYSTEM
  ibrav = 0, nat = 4, ntyp = 3
/
ATOMIC_SPECIES
Ca 40.08 Ca.upf
Gd 157.25 Gd.upf
Ni 58.69 Ni.upf
CELL_PARAMETERS angstrom
3.4833 0.0000 0.0000
0.0000 3.4833 0.0000
0.0000 0.0000 9.3787
ATOMIC_POSITIONS crystal
Ca 0.5000 0.5000 0.5000
Gd 0.0000 0.0000 0.1713
Ni 0.5000 0.5000 0.0000
Gd 0.0000 0.0000 0.8287
```

- DOS(E_F) (states/eV/f.u.) = 4.8
- distance to the lowest polymorph of the same formula (meV per atom) = 0.0
- size of the total moment (μB/cell) = 14.4

=====

Look up the DOS(E_F) of the second one.
3.5 states/eV/f.u.

=====

Number 2 is which compound?
Ca2LaPbSe4